No. 1
Compound: In4SiCl
Source: the Alexandria database
Functional: meta-GGA SCAN
Structure: single point on PBEsol structure

The structure in POSCAR format:
```
In4SiCl
1.0
0.000 4.222 4.222
4.222 0.000 4.222
4.222 4.222 0.000
In Si Cl
4 1 1
direct
0.125 0.125 0.125 In
0.125 0.125 0.625 In
0.125 0.625 0.125 In
0.625 0.125 0.125 In
0.750 0.750 0.750 Si
0.500 0.500 0.500 Cl
```

Output
- crystal system = cubic
- energy relative to the elements, uncorrected (eV per atom) = 0.2964
- E (eV/atom) = -24.96
- symmetry = F-43m (216)
- size of the total moment (μB per formula unit) = 0.00
- mass density (g cm⁻³) = 5.8

No. 2
Compound: InSi2Cl
Source: the Alexandria database
Functional: meta-GGA SCAN
Structure: single point on PBEsol structure

The structure in POSCAR format:
```
InSi2Cl
1.0
3.054 0.000 0.000
0.000 5.265 0.000
0.000 0.000 9.365
In Si Cl
2 4 2
direct
0.000 0.000 0.000 In
0.500 0.500 0.000 In
0.000 0.500 0.271 Si
0.000 0.500 0.729 Si
0.500 0.000 0.271 Si
0.500 0.000 0.729 Si
0.000 0.000 0.500 Cl
0.500 0.500 0.500 Cl
```

Output
- crystal system = orthorhombic
- energy relative to the elements, uncorrected (eV per atom) = 0.5340
- E (eV/atom) = -14.81
- symmetry = Cmmm (65)
- size of the total moment (μB per formula unit) = 0.00
- mass density (g cm⁻³) = 4.6

No. 3
Compound: SmIn2Cl5
Source: the Alexandria database
Functional: meta-GGA SCAN
Structure: single point on PBEsol structure

The structure in POSCAR format:
```
SmIn2Cl5
1.0
12.480 0.000 0.000
0.000 8.556 0.000
0.000 0.000 7.953
Sm In Cl
4 8 20
direct
0.006 0.250 0.076 Sm
0.494 0.750 0.576 Sm
0.506 0.250 0.424 Sm
0.994 0.750 0.924 Sm
0.171 0.008 0.562 In
0.171 0.492 0.562 In
0.329 0.508 0.062 In
0.329 0.992 0.062 In
0.671 0.008 0.938 In
0.671 0.492 0.938 In
0.829 0.508 0.438 In
0.829 0.992 0.438 In
0.005 0.250 0.421 Cl
0.072 0.546 0.169 Cl
0.072 0.954 0.169 Cl
0.188 0.250 0.893 Cl
0.206 0.750 0.844 Cl
0.294 0.250 0.344 Cl
0.312 0.750 0.393 Cl
0.428 0.046 0.669 Cl
0.428 0.454 0.669 Cl
0.495 0.750 0.921 Cl
0.505 0.250 0.079 Cl
0.572 0.546 0.331 Cl
0.572 0.954 0.331 Cl
0.688 0.250 0.607 Cl
0.706 0.750 0.656 Cl
0.794 0.250 0.156 Cl
0.812 0.750 0.107 Cl
0.928 0.046 0.831 Cl
0.928 0.454 0.831 Cl
0.995 0.750 0.579 Cl
```

Output
- crystal system = orthorhombic
- energy relative to the elements, uncorrected (eV per atom) = -1.7408
- E (eV/atom) = -20.63
- symmetry = Pnma (62)
- size of the total moment (μB per formula unit) = 0.00
- mass density (g cm⁻³) = 4.4

No. 4
Compound: InSn2Cl5
Source: the Alexandria database
Functional: meta-GGA SCAN
Structure: single point on PBEsol structure

The structure in POSCAR format:
```
InSn2Cl5
1.0
8.692 0.000 0.000
0.000 7.807 0.000
-0.087 0.000 12.150
In Sn Cl
4 8 20
direct
0.015 0.048 0.167 In
0.015 0.452 0.667 In
0.985 0.548 0.333 In
0.985 0.952 0.833 In
0.243 0.564 0.006 Sn
0.243 0.936 0.506 Sn
0.493 0.009 0.827 Sn
0.493 0.491 0.327 Sn
0.507 0.509 0.673 Sn
0.507 0.991 0.173 Sn
0.757 0.064 0.494 Sn
0.757 0.436 0.994 Sn
0.045 0.174 0.418 Cl
0.045 0.326 0.918 Cl
0.266 0.150 0.688 Cl
0.266 0.350 0.188 Cl
0.266 0.686 0.774 Cl
0.266 0.814 0.274 Cl
0.280 0.537 0.501 Cl
0.280 0.963 0.001 Cl
0.453 0.166 0.404 Cl
0.453 0.334 0.904 Cl
0.547 0.666 0.096 Cl
0.547 0.834 0.596 Cl
0.720 0.037 0.999 Cl
0.720 0.463 0.499 Cl
0.734 0.186 0.726 Cl
0.734 0.314 0.226 Cl
0.734 0.650 0.812 Cl
0.734 0.850 0.312 Cl
0.955 0.674 0.082 Cl
0.955 0.826 0.582 Cl
```

Output
- crystal system = monoclinic
- energy relative to the elements, uncorrected (eV per atom) = -0.9964
- E (eV/atom) = -19.14
- symmetry = P2_1/c (14)
- size of the total moment (μB per formula unit) = 0.00
- mass density (g cm⁻³) = 4.3